Entry from the Open Quantum Materials Database: a relaxed W3Br2 crystal (PBE).

Its total energy is -6.7588 eV/atom.

The structure belongs to space group R-3c (No. 167, hexagonal axes); the cell edges are 6.6836, 6.6836 and 13.6537 Å and the angles 90.00°, 90.00° and 120.00°. The inequivalent atoms are W at (0.0000, 0.2555, 0.2500) and Br at (0.0000, 0.0000, 0.1022).

Entry from the Open Quantum Materials Database: a relaxed RbNaZrSe3 crystal (PBE).

Its total energy is -4.7635 eV/atom. For the relative energy among the computed polymorphs, the calculation gives 0.000 eV per atom.

The structure belongs to space group Pnma (No. 62); the cell edges are 15.4059, 4.0828 and 11.2577 Å and the angles 90.00°, 90.00° and 90.00°. The inequivalent atoms are Rb at (0.2361, 0.2500, 0.0337), Na at (0.0242, 0.7500, 0.0880), Zr at (0.0139, 0.2500, 0.3403), Se at (0.0868, 0.2500, 0.5661), Se at (0.0884, 0.7500, 0.8473) and Se at (0.1280, 0.7500, 0.2832).

Entry from the Open Quantum Materials Database: a relaxed AlMo2W crystal (PBE).

Its total energy is -9.5241 eV/atom.

The structure belongs to space group F-43m (No. 216); the cell edges are 6.2977, 6.2977 and 6.2977 Å and the angles 90.00°, 90.00° and 90.00°. The inequivalent atoms are Al at (0.0000, 0.0000, 0.0000), Mo at (0.0000, 0.0000, 0.5000), Mo at (0.2500, 0.2500, 0.7500) and W at (0.2500, 0.2500, 0.2500).

Entry from the Open Quantum Materials Database: a relaxed BiPd8 crystal (PBE).

Its total energy is -5.1953 eV/atom. For the relative energy among the computed polymorphs, the calculation gives 0.000 eV per atom.

The structure belongs to space group I4/mmm (No. 139); the cell edges are 8.4557, 8.4557 and 4.0728 Å and the angles 90.00°, 90.00° and 90.00°. The inequivalent atoms are Bi at (0.0000, 0.0000, 0.0000), Pd at (0.0000, 0.3368, 0.0000) and Pd at (0.1702, 0.1702, 0.5000).

Entry from the Open Quantum Materials Database: a relaxed LaErAg2Sb4 crystal (PBE).

Its total energy is -4.6165 eV/atom.

The structure belongs to space group P4mm (No. 99); the cell edges are 4.3860, 4.3860 and 10.6059 Å and the angles 90.00°, 90.00° and 90.00°. The inequivalent atoms are La at (0.0000, 0.0000, 0.0000), Er at (0.5000, 0.5000, 0.5244), Ag at (0.0000, 0.5000, 0.2715), Sb at (0.0000, 0.0000, 0.4506), Sb at (0.0000, 0.5000, 0.7543) and Sb at (0.5000, 0.5000, 0.0912).

Entry from the Open Quantum Materials Database: a relaxed UNbTe crystal (PBE).

Its total energy is -7.7663 eV/atom. For the relative energy among the computed polymorphs, the calculation gives 0.000 eV per atom.

The structure belongs to space group F-43m (No. 216); the cell edges are 6.7078, 6.7078 and 6.7078 Å and the angles 90.00°, 90.00° and 90.00°. The inequivalent atoms are U at (0.0000, 0.0000, 0.0000), Nb at (0.2500, 0.2500, 0.7500) and Te at (0.0000, 0.0000, 0.5000).

Entry from the Open Quantum Materials Database: a relaxed Tm2Lu2In5Ni2 crystal (PBE).

Its total energy is -4.3622 eV/atom. For the relative energy among the computed polymorphs, the calculation gives 0.003 eV per atom.

The structure belongs to space group P2/m (No. 10); the cell edges are 7.6438, 3.4949 and 9.3752 Å and the angles 90.00°, 94.82° and 90.00°. The inequivalent atoms are Tm at (0.2089, 0.0000, 0.4377), Lu at (0.1821, 0.0000, 0.8423), In at (0.1598, 0.5000, 0.1433), In at (0.4543, 0.5000, 0.6693), In at (0.5000, 0.5000, 0.0000) and Ni at (0.0719, 0.5000, 0.6324).

Entry from the Open Quantum Materials Database: a relaxed Cs3KP2Au2 crystal (PBE).

Its total energy is -3.0752 eV/atom.

The structure belongs to space group Pm (No. 6); the cell edges are 6.5937, 6.7474 and 6.6308 Å and the angles 90.00°, 108.84° and 90.00°. The inequivalent atoms are Cs at (0.0000, 0.0000, 0.0000), Cs at (0.2984, 0.5000, 0.2937), Cs at (0.6600, 0.0000, 0.3497), K at (0.9678, 0.5000, 0.6502), P at (0.2420, 0.0000, 0.5929), P at (0.7123, 0.5000, 0.0246) and Au at (0.4714, 0.2500, 0.8159).

Going through the records in order, we get calculated volume values of 17.61; 29.50; 15.61; 16.18; 25.50; 25.15; 22.69; 34.90 A^3/atom.